[1]
A relaxed HfCuIrAu crystal, computed with PBE.

Volume: 66 Å³ per cell
Fermi-level density of states: 2.48 states/eV/cell
Calculated formation energy: -1.501 eV per formula unit
Raw total energy: -6.92 eV/atom
Crystal system: cubic

Structure (POSCAR):
```
HfCuIrAu
1.0
-1.179 -1.438 -4.136
-1.517 -4.234 -0.582
-4.365 -0.729 -0.988
Cu Au Hf Ir
1 1 1 1
Cartesian
-1.765 -1.600 -1.426
-3.531 -3.200 -2.853
-5.296 -4.801 -4.279
0.000 0.000 0.000
```

[2]
A relaxed LiHfCuAu crystal, computed with PBE.

Volume: 66 Å³ per cell
Fermi-level density of states: 3.98 states/eV/cell
Calculated formation energy: -1.079 eV per formula unit
Raw total energy: -5.08 eV/atom
Crystal system: cubic

Structure (POSCAR):
```
LiHfCuAu
1.0
-2.512 2.059 -3.169
0.044 -1.524 -4.274
-3.654 -2.081 -1.705
Cu Li Hf Au
1 1 1 1
Cartesian
-3.061 -0.773 -4.574
-4.591 -1.159 -6.862
-1.530 -0.386 -2.287
0.000 0.000 0.000
```